No. 1
DFT (PBE-GGA) results for BaAsIO2 after structural relaxation.

a = 4.513 Å, b = 4.513 Å, c = 7.695 Å
α = 90.00°, β = 90.00°, γ = 90.00°
Element x y z (fractional)
Ba1 0.000 0.000 0.000
As1 0.500 0.500 0.500
I1 0.000 0.000 0.500
O1 0.000 0.500 0.000
O2 0.500 0.000 0.000

Output
The uncorrected formation energy comes out at -0.1074 eV per atom. Its density is 3.9 g/cm3.


No. 2
DFT (PBE-GGA) results for Ba4AsI2O after structural relaxation.

a = 7.748 Å, b = 4.583 Å, c = 8.739 Å
α = 90.00°, β = 107.93°, γ = 90.00°
Element x y z (fractional)
Ba1 0.212 0.000 0.188
Ba2 0.235 0.500 0.806
Ba3 0.765 0.500 0.194
Ba4 0.788 0.000 0.812
As1 0.500 0.000 0.000
I1 0.000 0.000 0.500
I2 0.500 0.500 0.500
O1 0.000 0.500 0.000

Output
The uncorrected formation energy comes out at -1.6068 eV per atom. Its density is 5.0 g/cm3.


No. 3
DFT (PBE-GGA) results for BaAsOsI2 after structural relaxation.

a = 5.223 Å, b = 5.223 Å, c = 6.603 Å
α = 90.00°, β = 90.00°, γ = 90.00°
Element x y z (fractional)
Ba1 0.000 0.000 0.000
As1 0.500 0.500 0.000
Os1 0.000 0.000 0.500
I1 0.000 0.500 0.500
I2 0.500 0.000 0.500

Output
The uncorrected formation energy comes out at 0.4843 eV per atom. Its density is 6.1 g/cm3.


No. 4
DFT (PBE-GGA) results for Ba8As3PI3 after structural relaxation.

a = 10.048 Å, b = 10.048 Å, c = 10.048 Å
α = 57.58°, β = 57.58°, γ = 57.58°
Element x y z (fractional)
Ba1 0.235 0.235 0.235
Ba2 0.237 0.733 0.733
Ba3 0.267 0.267 0.763
Ba4 0.267 0.763 0.267
Ba5 0.733 0.237 0.733
Ba6 0.733 0.733 0.237
Ba7 0.763 0.267 0.267
Ba8 0.765 0.765 0.765
As1 0.000 0.000 0.500
As2 0.000 0.500 0.000
As3 0.500 0.000 0.000
P1 0.500 0.500 0.500
I1 0.000 0.500 0.500
I2 0.500 0.000 0.500
I3 0.500 0.500 0.000

Output
The uncorrected formation energy comes out at -1.3350 eV per atom. Its density is 4.3 g/cm3.


No. 5
DFT (PBE-GGA) results for Ba6As2PI after structural relaxation.

a = 7.884 Å, b = 8.909 Å, c = 14.683 Å
α = 90.00°, β = 121.88°, γ = 90.00°
Element x y z (fractional)
Ba1 0.063 0.056 0.231
Ba2 0.063 0.444 0.731
Ba3 0.249 0.702 0.094
Ba4 0.249 0.798 0.594
Ba5 0.402 0.169 0.091
Ba6 0.402 0.331 0.591
Ba7 0.598 0.669 0.409
Ba8 0.598 0.831 0.909
Ba9 0.751 0.202 0.406
Ba10 0.751 0.298 0.906
Ba11 0.937 0.556 0.269
Ba12 0.937 0.944 0.769
As1 0.314 0.114 0.751
As2 0.314 0.386 0.251
As3 0.686 0.614 0.749
As4 0.686 0.886 0.249
P1 0.000 0.000 0.000
P2 0.000 0.500 0.500
I1 0.500 0.000 0.500
I2 0.500 0.500 0.000

Output
The uncorrected formation energy comes out at -1.0018 eV per atom. Its density is 4.3 g/cm3.


No. 6
DFT (PBE-GGA) results for Ba6AsP2I2 after structural relaxation.

a = 8.306 Å, b = 8.306 Å, c = 8.744 Å
α = 98.99°, β = 98.99°, γ = 120.09°
Element x y z (fractional)
Ba1 0.095 0.432 0.797
Ba2 0.226 0.226 0.203
Ba3 0.432 0.095 0.797
Ba4 0.568 0.905 0.203
Ba5 0.774 0.774 0.797
Ba6 0.905 0.568 0.203
As1 0.500 0.500 0.000
P1 0.167 0.833 0.000
P2 0.833 0.167 0.000
I1 0.335 0.665 0.500
I2 0.665 0.335 0.500

Output
The uncorrected formation energy comes out at -1.2706 eV per atom. Its density is 4.1 g/cm3.


Question: Number 4 is which compound?
Answer: Ba8As3PI3


Question: Which of these has the lowest uncorrected formation energy?
Answer: Ba4AsI2O